Entry 1:
The following is a GGA-PBE calculation of a relaxed structure of GaCu2AgF8, from Alexandria.

Unit cell a=5.960 b=5.960 c=5.960 alpha=110.64 beta=110.64 gamma=107.16
Sites, in units of the cell vectors:
Ga  0.000  0.000  0.000
Cu  0.500  0.500  0.000
Cu  0.750  0.250  0.500
Ag  0.250  0.750  0.500
F  0.292  0.110  0.818
F  0.292  0.474  0.182
F  0.340  0.068  0.272
F  0.526  0.708  0.818
F  0.797  0.068  0.728
F  0.890  0.708  0.182
F  0.932  0.203  0.272
F  0.932  0.660  0.728

Summary:
The value obtained for the density of states at the Fermi level is 13.014 states/eV/cell. The formation energy without anion corrections comes out at -37.4 kcal/mol of atoms.

---

Entry 2:
The following is a GGA-PBE calculation of a relaxed structure of Cu2AgGeF8, from Alexandria.

Unit cell a=4.907 b=4.935 c=7.078 alpha=81.67 beta=82.96 gamma=87.09
Sites, in units of the cell vectors:
Cu  0.045  0.035  0.272
Cu  0.955  0.965  0.728
Ag  0.500  0.500  0.500
Ge  0.500  0.500  0.000
F  0.164  0.186  0.516
F  0.230  0.240  0.033
F  0.301  0.680  0.184
F  0.327  0.706  0.810
F  0.673  0.294  0.190
F  0.699  0.320  0.816
F  0.770  0.760  0.967
F  0.836  0.814  0.484

Summary:
The value obtained for the density of states at the Fermi level is 5.195 states/eV/cell. The formation energy without anion corrections comes out at -39.9 kcal/mol of atoms.

---

Entry 3:
The following is a GGA-PBE calculation of a relaxed structure of CuAgH2F, from Alexandria.

Unit cell a=3.361 b=3.361 c=5.416 alpha=90.00 beta=90.00 gamma=90.00
Sites, in units of the cell vectors:
Cu  0.000  0.000  0.000
Ag  0.500  0.500  0.500
H  0.000  0.500  0.500
H  0.500  0.000  0.500
F  0.500  0.500  0.000

Summary:
The total DFT energy (no corrections) comes out at -0.1126 hartree per atom. The value obtained for the density of states at the Fermi level is 1.020 states/eV/cell.

---

Entry 4:
The following is a GGA-PBE calculation of a relaxed structure of Cu2AgHgF6, from Alexandria.

Unit cell a=7.332 b=7.332 c=5.546 alpha=94.30 beta=94.30 gamma=79.22
Sites, in units of the cell vectors:
Cu  0.136  0.346  0.323
Cu  0.346  0.136  0.823
Cu  0.654  0.864  0.177
Cu  0.864  0.654  0.677
Ag  0.353  0.647  0.750
Ag  0.647  0.353  0.250
Hg  0.067  0.933  0.250
Hg  0.933  0.067  0.750
F  0.047  0.687  0.932
F  0.059  0.653  0.453
F  0.313  0.953  0.568
F  0.331  0.331  0.094
F  0.331  0.331  0.594
F  0.347  0.941  0.047
F  0.653  0.059  0.953
F  0.669  0.669  0.406
F  0.669  0.669  0.906
F  0.687  0.047  0.432
F  0.941  0.347  0.547
F  0.953  0.313  0.068

Summary:
The value obtained for the density of states at the Fermi level is 3.461 states/eV/cell. The formation energy without anion corrections comes out at -29.5 kcal/mol of atoms.

---

Entry 5:
The following is a GGA-PBE calculation of a relaxed structure of CuAg2HgF6, from Alexandria.

Unit cell a=5.929 b=5.973 c=10.259 alpha=90.00 beta=124.88 gamma=90.00
Sites, in units of the cell vectors:
Cu  0.000  0.000  0.000
Cu  0.000  0.500  0.500
Ag  0.264  0.055  0.749
Ag  0.264  0.445  0.249
Ag  0.736  0.555  0.751
Ag  0.736  0.945  0.251
Hg  0.500  0.000  0.500
Hg  0.500  0.500  0.000
F  0.102  0.057  0.215
F  0.102  0.443  0.715
F  0.227  0.731  0.070
F  0.227  0.769  0.570
F  0.376  0.203  0.060
F  0.376  0.297  0.560
F  0.624  0.703  0.440
F  0.624  0.797  0.940
F  0.773  0.231  0.430
F  0.773  0.269  0.930
F  0.898  0.557  0.285
F  0.898  0.943  0.785

Summary:
The formation energy without anion corrections comes out at -29.3 kcal/mol of atoms.

---

Entry 6:
The following is a GGA-PBE calculation of a relaxed structure of HoCuAgF6, from Alexandria.

Unit cell a=5.677 b=5.677 c=9.963 alpha=90.00 beta=90.00 gamma=120.00
Sites, in units of the cell vectors:
Ho  0.333  0.667  0.250
Ho  0.667  0.333  0.750
Cu  0.333  0.667  0.750
Cu  0.667  0.333  0.250
Ag  0.000  0.000  0.000
Ag  0.000  0.000  0.500
F  0.015  0.368  0.639
F  0.015  0.647  0.861
F  0.353  0.368  0.861
F  0.353  0.985  0.639
F  0.368  0.015  0.139
F  0.368  0.353  0.361
F  0.632  0.647  0.639
F  0.632  0.985  0.861
F  0.647  0.015  0.361
F  0.647  0.632  0.139
F  0.985  0.353  0.139
F  0.985  0.632  0.361

Summary:
The value obtained for the density of states at the Fermi level is 11.460 states/eV/cell. The formation energy without anion corrections comes out at -57.5 kcal/mol of atoms.

---

| no. | mass density (Mg/m³) |
| --- | --- |
| 1 | 4.7 |
| 2 | 4.5 |
| 3 | 5.2 |
| 4 | 6.3 |
| 5 | 6.6 |
| 6 | 5.4 |